1.
Here is crystalline CsSbHPd at its relaxed geometry from Alexandria. Energies are from PBE.

Lattice parameters (Å, degrees): 3.4687 6.5936 6.5936 44.03 90.00 90.00
With the nearest neighbours (Å) after each atom.
Element x y z (fractional)
Cs: 0.0000 0.0000 0.0000  2 Cs 3.47, 3 H 3.51-3.62
Sb: 0.5000 0.7098 0.7098  2 Pd 2.64
H: 0.0000 0.2957 0.2957  2 Pd 1.74
Pd: 0.5000 0.2859 0.2859  2 H 1.74

Properties
* space-group type: No. 38
* energy above the lowest structure with this stoichiometry: 53 meV per atom



2.
Here is crystalline CsSb2HPd at its relaxed geometry from Alexandria. Energies are from PBE.

Lattice parameters (Å, degrees): 5.3764 5.3764 4.6832 90.00 90.00 90.00
With the nearest neighbours (Å) after each atom.
Element x y z (fractional)
Cs: 0.0000 0.0000 0.0000  8 Sb 3.57, 4 H 3.80
Sb: 0.0000 0.5000 0.5000  2 Pd 2.69
Sb: 0.5000 0.0000 0.5000  2 Pd 2.69
H: 0.5000 0.5000 0.0000  2 Pd 2.34
Pd: 0.5000 0.5000 0.5000  2 H 2.34

Properties
* calculated total energy: -3.185 eV per atom
* space-group type: No. 123



3.
Here is crystalline CsSbHPd at its relaxed geometry from Alexandria. Energies are from PBE.

Lattice parameters (Å, degrees): 7.6221 7.6221 7.6221 152.36 152.36 39.49
With the nearest neighbours (Å) after each atom.
Element x y z (fractional)
Cs: 0.0000 0.0000 0.0000  4 H 2.89
Sb: 0.7199 0.7199 0.0000  4 Pd 2.76
H: 0.4081 0.4081 0.0000  1 Pd 1.71
Pd: 0.2891 0.2891 0.0000  1 H 1.71

Properties
* space-group type: No. 107
* energy above the lowest structure with this stoichiometry: 35 meV per atom



Please write out number 3 again, unchanged.
Here is crystalline CsSbHPd at its relaxed geometry from Alexandria. Energies are from PBE.

Lattice parameters (Å, degrees): 7.6221 7.6221 7.6221 152.36 152.36 39.49
With the nearest neighbours (Å) after each atom.
Element x y z (fractional)
Cs: 0.0000 0.0000 0.0000  4 H 2.89
Sb: 0.7199 0.7199 0.0000  4 Pd 2.76
H: 0.4081 0.4081 0.0000  1 Pd 1.71
Pd: 0.2891 0.2891 0.0000  1 H 1.71

Properties
* space-group type: No. 107
* energy above the lowest structure with this stoichiometry: 35 meV per atom